## CaTlCl2 (PBE)

Data for a geometry-optimized CaTlCl2 structure.

Unit cell a=4.526 b=4.526 c=26.891 alpha=90.00 beta=90.00 gamma=120.00
Element x y z (fractional)
Ca1 0.000 0.000 0.000
Ca2 0.333 0.667 0.667
Ca3 0.667 0.333 0.333
Tl1 0.000 0.000 0.500
Tl2 0.333 0.667 0.167
Tl3 0.667 0.333 0.833
Cl1 0.000 0.000 0.097
Cl2 0.000 0.000 0.903
Cl3 0.333 0.667 0.570
Cl4 0.333 0.667 0.763
Cl5 0.667 0.333 0.237
Cl6 0.667 0.333 0.430

Total magnetic moment ... 0.00 μB/f.u.
Raw formation energy ... -1.20 eV per atom
Electronic total energy ... -38.552 eV for the cell shown
ΔE to the lowest computed polymorph ... 0.4198 eV/atom

## YCrRu2C (PBE)

Data for a geometry-optimized YCrRu2C structure.

Unit cell a=4.228 b=4.228 c=4.023 alpha=90.00 beta=90.00 gamma=90.00
Element x y z (fractional)
Y1 0.000 0.000 0.000
Cr1 0.500 0.500 0.000
Ru1 0.000 0.500 0.500
Ru2 0.500 0.000 0.500
C1 0.500 0.500 0.500

Calculated formation energy ... -2.4 kcal/mol of atoms
Total magnetic moment ... 2.65 μB/f.u.
Electronic total energy ... -44.384 eV for the cell shown

## CaNdHoTl (PBE)

Data for a geometry-optimized CaNdHoTl structure.

Unit cell a=7.876 b=7.876 c=7.876 alpha=90.00 beta=90.00 gamma=90.00
Element x y z (fractional)
Ca1 0.000 0.000 0.000
Ca2 0.000 0.500 0.500
Ca3 0.500 0.000 0.500
Ca4 0.500 0.500 0.000
Nd1 0.250 0.250 0.250
Nd2 0.250 0.750 0.750
Nd3 0.750 0.250 0.750
Nd4 0.750 0.750 0.250
Ho1 0.250 0.250 0.750
Ho2 0.250 0.750 0.250
Ho3 0.750 0.250 0.250
Ho4 0.750 0.750 0.750
Tl1 0.000 0.000 0.500
Tl2 0.000 0.500 0.000
Tl3 0.500 0.000 0.000
Tl4 0.500 0.500 0.500

Calculated formation energy ... -1.6 kcal/mol of atoms
Total magnetic moment ... 0.00 μB/f.u.
Electronic total energy ... -55.944 eV for the cell shown

## BaSrCr2 (PBE)

Data for a geometry-optimized BaSrCr2 structure.

Unit cell a=5.673 b=5.673 c=7.924 alpha=90.00 beta=90.00 gamma=90.00
Element x y z (fractional)
Ba1 0.000 0.000 0.000
Ba2 0.500 0.500 0.500
Sr1 0.000 0.500 0.750
Sr2 0.500 0.000 0.250
Cr1 0.000 0.000 0.500
Cr2 0.000 0.500 0.250
Cr3 0.500 0.000 0.750
Cr4 0.500 0.500 0.000

Calculated formation energy ... 21.8 kcal/mol of atoms
Total magnetic moment ... 9.69 μB/f.u.
Electronic total energy ... -38.127 eV for the cell shown
ΔE to the lowest computed polymorph ... 0.4465 eV/atom